Record 1
Compound: Tl3Cu2PdBr9
Source: the Alexandria database
Functional: PBE
Structure: relaxed

Cell and atoms, written as CIF:
```
data_Tl3Cu2PdBr9
_chemical_formula_sum 'Tl3 Cu2 Pd1 Br9'
_cell_length_a 7.3477
_cell_length_b 7.3477
_cell_length_c 8.9541
_cell_angle_alpha 90.00
_cell_angle_beta 90.00
_cell_angle_gamma 120.00
_space_group_name_H-M_alt 'P -3 m 1'
_space_group_IT_number 164
_space_group_name_Hall '-P 3 2"'
loop_
_atom_site_label
_atom_site_fract_x
_atom_site_fract_y
_atom_site_fract_z
Tl1 0.0000 0.0000 0.0000
Tl2 0.3333 0.6667 0.6792
Cu1 0.3333 0.6667 0.1621
Pd1 0.0000 0.0000 0.5000
Br1 0.0000 0.5000 0.0000
Br2 0.1667 0.3335 0.3331
```

Computed properties:
The value obtained for the electronic total energy is -2.865 eV per atom.

***

Record 2
Compound: K4ScPb
Source: the Alexandria database
Functional: PBE
Structure: relaxed

Cell and atoms, written as CIF:
```
data_K4ScPb
_chemical_formula_sum 'K16 Sc4 Pb4'
_cell_length_a 10.169
_cell_length_b 10.169
_cell_length_c 10.169
_cell_angle_alpha 90.00
_cell_angle_beta 90.00
_cell_angle_gamma 90.00
_space_group_name_H-M_alt 'F -4 3 m'
_space_group_IT_number 216
_space_group_name_Hall 'F -4 2 3'
loop_
_atom_site_label
_atom_site_fract_x
_atom_site_fract_y
_atom_site_fract_z
K1 0.124 0.124 0.124
Sc1 0.000 0.000 0.500
Pb1 0.250 0.250 0.750
```

Computed properties:
The value obtained for the energy relative to the elements is 0.535 eV/atom.

***

Record 3
Compound: PmTm3Al3
Source: the Alexandria database
Functional: PBE
Structure: relaxed

Cell and atoms, written as CIF:
```
data_PmTm3Al3
_chemical_formula_sum 'Pm4 Tm12 Al12'
_cell_length_a 10.059
_cell_length_b 10.342
_cell_length_c 6.892
_cell_angle_alpha 90.00
_cell_angle_beta 90.00
_cell_angle_gamma 90.00
_space_group_name_H-M_alt 'C m m m'
_space_group_IT_number 65
_space_group_name_Hall '-C 2 2'
loop_
_atom_site_label
_atom_site_fract_x
_atom_site_fract_y
_atom_site_fract_z
Pm1 0.239 0.000 0.000
Tm1 0.000 0.245 0.500
Tm2 0.000 0.256 0.000
Tm3 0.236 0.000 0.500
Al1 0.000 0.500 0.270
Al2 0.250 0.250 0.262
```

Computed properties:
The value obtained for the energy relative to the elements is -0.255 eV/atom.

***

Record 4
Compound: NaInP2Cl
Source: the Alexandria database
Functional: PBE
Structure: relaxed

Cell and atoms, written as CIF:
```
data_NaInP2Cl
_chemical_formula_sum 'Na1 In1 P2 Cl1'
_cell_length_a 4.936
_cell_length_b 4.936
_cell_length_c 4.830
_cell_angle_alpha 90.00
_cell_angle_beta 90.00
_cell_angle_gamma 90.00
_space_group_name_H-M_alt 'P 4/m m m'
_space_group_IT_number 123
_space_group_name_Hall '-P 4 2'
loop_
_atom_site_label
_atom_site_fract_x
_atom_site_fract_y
_atom_site_fract_z
Na1 0.000 0.000 0.000
In1 0.500 0.500 0.000
P1 0.000 0.500 0.500
Cl1 0.000 0.000 0.500
```

Computed properties:
The value obtained for the electronic total energy is -2.896 eV per atom.

***

Record 5
Compound: Sr2PaCdSe5
Source: the Alexandria database
Functional: PBE
Structure: relaxed

Cell and atoms, written as CIF:
```
data_Sr2PaCdSe5
_chemical_formula_sum 'Sr8 Pa4 Cd4 Se20'
_cell_length_a 4.268
_cell_length_b 18.261
_cell_length_c 13.274
_cell_angle_alpha 90.00
_cell_angle_beta 90.00
_cell_angle_gamma 90.00
_space_group_name_H-M_alt 'C m c 21'
_space_group_IT_number 36
loop_
_space_group_symop_operation_xyz
'x,y,z'
'-x,-y,z+1/2'
'-x,y,z'
'x,-y,z+1/2'
'x+1/2,y+1/2,z'
'-x+1/2,-y+1/2,z+1/2'
'-x+1/2,y+1/2,z'
'x+1/2,-y+1/2,z+1/2'
loop_
_atom_site_label
_atom_site_fract_x
_atom_site_fract_y
_atom_site_fract_z
Sr1 0.000 0.105 0.000
Sr2 0.000 0.126 0.633
Pa1 0.000 0.211 0.339
Cd1 0.000 0.452 0.769
Se1 0.000 0.057 0.386
Se2 0.000 0.283 0.985
Se3 0.000 0.303 0.692
Se4 0.000 0.364 0.323
Se5 0.000 0.496 0.088
```

Computed properties:
The value obtained for the electronic total energy is -4.946 eV per atom.

***

Record 6
Compound: ReAgRh2
Source: the Alexandria database
Functional: PBE
Structure: relaxed

Cell and atoms, written as CIF:
```
data_ReAgRh2
_chemical_formula_sum 'Re2 Ag2 Rh4'
_cell_length_a 5.652
_cell_length_b 7.670
_cell_length_c 2.767
_cell_angle_alpha 90.00
_cell_angle_beta 90.00
_cell_angle_gamma 90.00
_space_group_name_H-M_alt 'C m m m'
_space_group_IT_number 65
_space_group_name_Hall '-C 2 2'
loop_
_atom_site_label
_atom_site_fract_x
_atom_site_fract_y
_atom_site_fract_z
Re1 0.000 0.000 0.000
Ag1 0.000 0.500 0.000
Rh1 0.250 0.250 0.500
```

Computed properties:
The value obtained for the energy relative to the elements is 0.271 eV/atom.